## Ba3NaU2Se9 (PBE)

Data for a relaxed Ba3NaU2Se9 crystal.

POSCAR file:
```
Ba3NaU2Se9
1.0
-2.366 -6.154 -3.841
5.946 4.040 -2.557
5.885 -5.440 5.090
Ba Na U Se
3 1 2 9
Cartesian
6.883 -2.785 0.222
0.000 0.000 0.000
2.582 -4.768 -1.530
2.942 -2.720 2.545
4.183 -0.289 -2.114
5.282 -7.265 0.805
2.991 -8.092 -0.203
5.930 -6.095 -1.467
4.160 -5.051 1.695
5.305 -2.503 -3.003
3.535 -1.458 0.159
6.474 0.538 -1.105
-1.183 -3.077 -1.921
2.973 2.020 -1.278
1.790 -1.057 -3.199
```

Properties
Its space group is No. 164. The uncorrected formation energy is -1.400 eV/atom.